Arrangement 1

The following is a DFT calculation (PBE-GGA) of a relaxed structure of LaH2Pd2.

Results
Calculated density in g/cm3: 8.55
Space group: I4/mmm, No. 139
Volume in Å³ per cell: 69

Unit cell a=5.289 b=5.289 c=5.289 alpha=136.70 beta=136.70 gamma=62.90
Atoms (fractional coordinates):
La 0.000 0.000 0.000
H 0.250 0.750 0.500
H 0.750 0.250 0.500
Pd 0.329 0.329 0.000
Pd 0.671 0.671 0.000


Arrangement 2

The following is a DFT calculation (PBE-GGA) of a relaxed structure of LaH2Pd2.

Results
Calculated density in g/cm3: 7.77
Space group: I4/mmm, No. 139
Volume in Å³ per cell: 76

Unit cell a=5.550 b=5.550 c=5.550 alpha=138.02 beta=138.02 gamma=60.87
Atoms (fractional coordinates):
La 0.000 0.000 0.000
H 0.284 0.284 0.000
H 0.716 0.716 0.000
Pd 0.250 0.750 0.500
Pd 0.750 0.250 0.500


Most stable to least stable, the ends of the list are arrangement 1 and arrangement 2.


Arrangement 1

The following is a DFT calculation (PBE-GGA) of a relaxed structure of LaH2Pd2.

Results
Calculated density in g/cm3: 8.29
Space group: P6/mmm, No. 191
Volume in Å³ per cell: 71

Unit cell a=4.679 b=4.679 c=3.736 alpha=90.00 beta=90.00 gamma=120.00
Atoms (fractional coordinates):
La 0.000 0.000 0.000
H 0.333 0.667 0.000
H 0.667 0.333 0.000
Pd 0.333 0.667 0.500
Pd 0.667 0.333 0.500


Arrangement 2

The following is a DFT calculation (PBE-GGA) of a relaxed structure of LaH2Pd2.

Results
Calculated density in g/cm3: 7.64
Space group: P4/mbm, No. 127
Volume in Å³ per cell: 154

Unit cell a=6.477 b=6.477 c=3.663 alpha=90.00 beta=90.00 gamma=90.00
Atoms (fractional coordinates):
La 0.000 0.000 0.000
La 0.500 0.500 0.000
H 0.150 0.350 0.000
H 0.350 0.850 0.000
H 0.650 0.150 0.000
H 0.850 0.650 0.000
Pd 0.149 0.351 0.500
Pd 0.351 0.851 0.500
Pd 0.649 0.149 0.500
Pd 0.851 0.649 0.500


Most stable to least stable, the ends of the list are arrangement 1 and arrangement 2.


Arrangement 1

The following is a DFT calculation (PBE-GGA) of a relaxed structure of La2H2Pd.

Results
Calculated density in g/cm3: 7.46
Space group: P4/mbm, No. 127
Volume in Å³ per cell: 172

Unit cell a=7.173 b=7.173 c=3.339 alpha=90.00 beta=90.00 gamma=90.00
Atoms (fractional coordinates):
La 0.176 0.324 0.000
La 0.324 0.824 0.000
La 0.676 0.176 0.000
La 0.824 0.676 0.000
H 0.117 0.617 0.500
H 0.383 0.117 0.500
H 0.617 0.883 0.500
H 0.883 0.383 0.500
Pd 0.000 0.000 0.500
Pd 0.500 0.500 0.500


Arrangement 2

The following is a DFT calculation (PBE-GGA) of a relaxed structure of La2H2Pd.

Results
Calculated density in g/cm3: 6.84
Space group: I4/mmm, No. 139
Volume in Å³ per cell: 94

Unit cell a=7.161 b=7.161 c=7.161 alpha=149.59 beta=149.59 gamma=43.54
Atoms (fractional coordinates):
La 0.138 0.138 0.000
La 0.862 0.862 0.000
H 0.250 0.750 0.500
H 0.750 0.250 0.500
Pd 0.500 0.500 0.000


Most stable to least stable, the ends of the list are arrangement 2 and arrangement 1.


Arrangement 1

The following is a DFT calculation (PBE-GGA) of a relaxed structure of LaHPd2Rh.

Results
Calculated density in g/cm3: 9.81
Space group: P4/mmm, No. 123
Volume in Å³ per cell: 77

Unit cell a=4.016 b=4.016 c=4.784 alpha=90.00 beta=90.00 gamma=90.00
Atoms (fractional coordinates):
La 0.000 0.000 0.000
H 0.000 0.000 0.500
Pd 0.000 0.500 0.500
Pd 0.500 0.000 0.500
Rh 0.500 0.500 0.000


Arrangement 2

The following is a DFT calculation (PBE-GGA) of a relaxed structure of LaHPd2Rh.

Results
Calculated density in g/cm3: 9.99
Space group: P4/mmm, No. 123
Volume in Å³ per cell: 76

Unit cell a=4.199 b=4.199 c=4.296 alpha=90.00 beta=90.00 gamma=90.00
Atoms (fractional coordinates):
La 0.000 0.000 0.000
H 0.500 0.500 0.500
Pd 0.000 0.500 0.500
Pd 0.500 0.000 0.500
Rh 0.500 0.500 0.000


Most stable to least stable, the ends of the list are arrangement 2 and arrangement 1.


Arrangement 1

The following is a DFT calculation (PBE-GGA) of a relaxed structure of La2HPdRu.

Results
Calculated density in g/cm3: 8.22
Space group: P4/mmm, No. 123
Volume in Å³ per cell: 98

Unit cell a=5.148 b=5.148 c=3.705 alpha=90.00 beta=90.00 gamma=90.00
Atoms (fractional coordinates):
La 0.000 0.500 0.000
La 0.500 0.000 0.000
H 0.000 0.000 0.000
Pd 0.000 0.000 0.500
Ru 0.500 0.500 0.500


Arrangement 2

The following is a DFT calculation (PBE-GGA) of a relaxed structure of La2HPdRu.

Results
Calculated density in g/cm3: 8.20
Space group: P4/mmm, No. 123
Volume in Å³ per cell: 98

Unit cell a=5.186 b=5.186 c=3.662 alpha=90.00 beta=90.00 gamma=90.00
Atoms (fractional coordinates):
La 0.000 0.500 0.000
La 0.500 0.000 0.000
H 0.000 0.000 0.000
Pd 0.500 0.500 0.500
Ru 0.000 0.000 0.500


Most stable to least stable, the ends of the list are arrangement 2 and arrangement 1.


Arrangement 1

The following is a DFT calculation (PBE-GGA) of a relaxed structure of La2ZnHPd.

Results
Calculated density in g/cm3: 7.06
Space group: P4/mmm, No. 123
Volume in Å³ per cell: 106

Unit cell a=5.289 b=5.289 c=3.790 alpha=90.00 beta=90.00 gamma=90.00
Atoms (fractional coordinates):
La 0.000 0.500 0.000
La 0.500 0.000 0.000
Zn 0.000 0.000 0.500
H 0.500 0.500 0.000
Pd 0.500 0.500 0.500


Arrangement 2

The following is a DFT calculation (PBE-GGA) of a relaxed structure of La2ZnHPd.

Results
Calculated density in g/cm3: 7.23
Space group: P4/mmm, No. 123
Volume in Å³ per cell: 103

Unit cell a=5.100 b=5.100 c=3.979 alpha=90.00 beta=90.00 gamma=90.00
Atoms (fractional coordinates):
La 0.000 0.500 0.000
La 0.500 0.000 0.000
Zn 0.000 0.000 0.500
H 0.000 0.000 0.000
Pd 0.500 0.500 0.500


Most stable to least stable, the ends of the list are arrangement 1 and arrangement 2.


Arrangement 1

The following is a DFT calculation (PBE-GGA) of a relaxed structure of LaPmH2.

Results
Calculated density in g/cm3: 6.72
Space group: P6_3/mmc, No. 194
Volume in Å³ per cell: 141

Unit cell a=3.714 b=3.714 c=11.821 alpha=90.00 beta=90.00 gamma=120.00
Atoms (fractional coordinates):
La 0.000 0.000 0.000
La 0.000 0.000 0.500
Pm 0.333 0.667 0.250
Pm 0.667 0.333 0.750
H 0.333 0.667 0.628
H 0.333 0.667 0.872
H 0.667 0.333 0.128
H 0.667 0.333 0.372


Arrangement 2

The following is a DFT calculation (PBE-GGA) of a relaxed structure of LaPmH2.

Results
Calculated density in g/cm3: 6.90
Space group: R-3m, No. 166
Volume in Å³ per cell: 69

Unit cell a=6.337 b=6.337 c=6.337 alpha=33.45 beta=33.45 gamma=33.45
Atoms (fractional coordinates):
La 0.000 0.000 0.000
Pm 0.500 0.500 0.500
H 0.246 0.246 0.246
H 0.754 0.754 0.754


Most stable to least stable, the ends of the list are arrangement 2 and arrangement 1.


Arrangement 1

The following is a DFT calculation (PBE-GGA) of a relaxed structure of LaPrH.

Results
Calculated density in g/cm3: 5.93
Space group: I4mm, No. 107
Volume in Å³ per cell: 79

Unit cell a=6.816 b=6.816 c=6.816 alpha=150.07 beta=150.07 gamma=42.84
Atoms (fractional coordinates):
La 0.000 0.000 0.000
Pr 0.715 0.715 0.000
H 0.187 0.187 0.000


Arrangement 2

The following is a DFT calculation (PBE-GGA) of a relaxed structure of LaPrH.

Results
Calculated density in g/cm3: 6.22
Space group: P3m1, No. 156
Volume in Å³ per cell: 75

Unit cell a=3.769 b=3.769 c=6.095 alpha=90.00 beta=90.00 gamma=120.00
Atoms (fractional coordinates):
La 0.000 0.000 0.000
Pr 0.333 0.667 0.479
H 0.667 0.333 0.243


Arrangement 3

The following is a DFT calculation (PBE-GGA) of a relaxed structure of LaPrH.

Results
Calculated density in g/cm3: 6.09
Space group: C2/m, No. 12
Volume in Å³ per cell: 153

Unit cell a=6.463 b=6.463 c=9.223 alpha=129.91 beta=129.91 gamma=32.27
Atoms (fractional coordinates):
La 0.071 0.071 0.374
La 0.929 0.929 0.626
Pr 0.211 0.211 0.154
Pr 0.789 0.789 0.846
H 0.316 0.316 0.686
H 0.684 0.684 0.314


Most stable to least stable, the ends of the list are arrangement 2 and arrangement 1.


Arrangement 1

The following is a DFT calculation (PBE-GGA) of a relaxed structure of LaHPt.

Results
Calculated density in g/cm3: 10.53
Space group: Pm, No. 6
Volume in Å³ per cell: 106

Unit cell a=3.917 b=4.831 c=5.828 alpha=90.00 beta=106.62 gamma=90.00
Atoms (fractional coordinates):
La 0.000 0.000 0.000
La 0.240 0.500 0.546
H 0.036 0.500 0.082
H 0.428 0.000 0.677
Pt 0.544 0.500 0.110
Pt 0.680 0.000 0.450


Arrangement 2

The following is a DFT calculation (PBE-GGA) of a relaxed structure of LaHPt.

Results
Calculated density in g/cm3: 10.39
Space group: Cm, No. 8
Volume in Å³ per cell: 107

Unit cell a=6.174 b=6.174 c=4.489 alpha=90.28 beta=90.28 gamma=38.74
Atoms (fractional coordinates):
La 0.000 0.000 0.000
La 0.715 0.715 0.490
H 0.173 0.173 0.724
H 0.620 0.620 0.000
Pt 0.285 0.285 0.000
Pt 0.433 0.433 0.481


Arrangement 3

The following is a DFT calculation (PBE-GGA) of a relaxed structure of LaHPt.

Results
Calculated density in g/cm3: 10.65
Space group: P4/mmm, No. 123
Volume in Å³ per cell: 52

Unit cell a=3.712 b=3.712 c=3.792 alpha=90.00 beta=90.00 gamma=90.00
Atoms (fractional coordinates):
La 0.000 0.000 0.000
H 0.500 0.500 0.000
Pt 0.500 0.500 0.500


Most stable to least stable, the ends of the list are arrangement 1 and arrangement 3.


Arrangement 1

The following is a DFT calculation (PBE-GGA) of a relaxed structure of LaH2Pt.

Results
Calculated density in g/cm3: 9.02
Space group: Pnma, No. 62
Volume in Å³ per cell: 248

Unit cell a=12.606 b=4.378 c=4.485 alpha=90.00 beta=90.00 gamma=90.00
Atoms (fractional coordinates):
La 0.127 0.250 0.218
La 0.373 0.750 0.718
La 0.627 0.250 0.282
La 0.873 0.750 0.782
H 0.052 0.750 0.026
H 0.203 0.750 0.409
H 0.297 0.250 0.909
H 0.448 0.250 0.526
H 0.552 0.750 0.474
H 0.703 0.750 0.091
H 0.797 0.250 0.591
H 0.948 0.250 0.974
Pt 0.124 0.750 0.712
Pt 0.376 0.250 0.212
Pt 0.624 0.750 0.788
Pt 0.876 0.250 0.288


Arrangement 2

The following is a DFT calculation (PBE-GGA) of a relaxed structure of LaH2Pt.

Results
Calculated density in g/cm3: 9.91
Space group: I-42d, No. 122
Volume in Å³ per cell: 113

Unit cell a=6.481 b=6.481 c=6.481 alpha=139.76 beta=139.76 gamma=58.21
Atoms (fractional coordinates):
La 0.000 0.000 0.000
La 0.750 0.250 0.500
H 0.373 0.625 0.248
H 0.375 0.623 0.748
H 0.377 0.125 0.752
H 0.875 0.627 0.252
Pt 0.250 0.750 0.500
Pt 0.500 0.500 0.000


Most stable to least stable, the ends of the list are arrangement 1 and arrangement 2.


Arrangement 1

The following is a DFT calculation (PBE-GGA) of a relaxed structure of LaH2Pt.

Results
Calculated density in g/cm3: 10.02
Space group: Fm-3m, No. 225
Volume in Å³ per cell: 56

Unit cell a=4.286 b=4.286 c=4.286 alpha=60.00 beta=60.00 gamma=60.00
Atoms (fractional coordinates):
La 0.000 0.000 0.000
H 0.250 0.250 0.250
H 0.750 0.750 0.750
Pt 0.500 0.500 0.500


Arrangement 2

The following is a DFT calculation (PBE-GGA) of a relaxed structure of LaH2Pt.

Results
Calculated density in g/cm3: 9.02
Space group: R-3m, No. 166
Volume in Å³ per cell: 62

Unit cell a=4.502 b=4.502 c=4.502 alpha=58.17 beta=58.17 gamma=58.17
Atoms (fractional coordinates):
La 0.000 0.000 0.000
H 0.350 0.350 0.350
H 0.650 0.650 0.650
Pt 0.500 0.500 0.500


Arrangement 3

The following is a DFT calculation (PBE-GGA) of a relaxed structure of LaH2Pt.

Results
Calculated density in g/cm3: 9.71
Space group: Pnma, No. 62
Volume in Å³ per cell: 230

Unit cell a=8.102 b=4.502 c=6.301 alpha=90.00 beta=90.00 gamma=90.00
Atoms (fractional coordinates):
La 0.183 0.250 0.149
La 0.317 0.750 0.649
La 0.683 0.250 0.351
La 0.817 0.750 0.851
H 0.087 0.514 0.825
H 0.087 0.986 0.825
H 0.413 0.014 0.325
H 0.413 0.486 0.325
H 0.587 0.514 0.675
H 0.587 0.986 0.675
H 0.913 0.014 0.175
H 0.913 0.486 0.175
Pt 0.038 0.250 0.633
Pt 0.462 0.750 0.133
Pt 0.538 0.250 0.867
Pt 0.962 0.750 0.367


Most stable to least stable, the ends of the list are arrangement 2 and arrangement 1.


Arrangement 1

The following is a DFT calculation (PBE-GGA) of a relaxed structure of La2HPt.

Results
Calculated density in g/cm3: 8.51
Space group: I-42d, No. 122
Volume in Å³ per cell: 185

Unit cell a=6.227 b=6.227 c=6.227 alpha=111.89 beta=111.89 gamma=104.73
Atoms (fractional coordinates):
La 0.068 0.125 0.443
La 0.375 0.932 0.057
La 0.682 0.625 0.557
La 0.875 0.318 0.943
H 0.000 0.000 0.000
H 0.750 0.250 0.500
Pt 0.250 0.750 0.500
Pt 0.500 0.500 0.000


Arrangement 2

The following is a DFT calculation (PBE-GGA) of a relaxed structure of La2HPt.

Results
Calculated density in g/cm3: 8.10
Space group: R3m, No. 160
Volume in Å³ per cell: 97

Unit cell a=7.378 b=7.378 c=7.378 alpha=31.47 beta=31.47 gamma=31.47
Atoms (fractional coordinates):
La 0.000 0.000 0.000
La 0.164 0.164 0.164
H 0.752 0.752 0.752
Pt 0.582 0.582 0.582


Most stable to least stable, the ends of the list are arrangement 1 and arrangement 2.